An optimized crystal structure of NaTe2Se. Source: Alexandria, functional PBE.

Values from the calculation:
E_form (uncorrected) (eV per atom): 0.068
D(E_F) (states/eV/cell): 3.43
Final energy (eV/atom): -2.704
Total magnetization (Bohr magnetons per cell): 0.0

a = 9.494 Å, b = 9.494 Å, c = 9.494 Å
α = 26.36°, β = 26.36°, γ = 26.36°
Element x y z (fractional)
Se: 0.500 0.500 0.500
Te: 0.109 0.109 0.109
Te: 0.891 0.891 0.891
Na: 0.000 0.000 0.000

An optimized crystal structure of NaTe2Se2. Source: Alexandria, functional PBE.

Values from the calculation:
E_form (uncorrected) (eV per atom): -0.206
D(E_F) (states/eV/cell): 2.24
Energy above the most stable polymorph in this dataset (meV/atom): 0.0
Final energy (eV/atom): -3.120
Total magnetization (Bohr magnetons per cell): 0.0

a = 5.729 Å, b = 5.729 Å, c = 6.573 Å
α = 64.17°, β = 64.17°, γ = 90.00°
Element x y z (fractional)
Na: 0.000 0.000 0.000
Se: 0.750 0.250 0.500
Se: 0.250 0.750 0.500
Te: 0.297 0.297 0.406
Te: 0.703 0.703 0.594

An optimized crystal structure of Na2Te2Se. Source: Alexandria, functional PBE.

Values from the calculation:
E_form (uncorrected) (eV per atom): -0.463
D(E_F) (states/eV/cell): 2.82
Final energy (eV/atom): -2.944
Total magnetization (Bohr magnetons per cell): 0.0

a = 7.919 Å, b = 7.919 Å, c = 4.670 Å
α = 90.00°, β = 90.00°, γ = 90.00°
Element x y z (fractional)
Na: 0.850 0.350 0.500
Na: 0.150 0.650 0.500
Na: 0.650 0.850 0.500
Na: 0.350 0.150 0.500
Te: 0.165 0.335 0.000
Te: 0.835 0.665 0.000
Te: 0.665 0.165 0.000
Te: 0.335 0.835 0.000
Se: 0.500 0.500 0.000
Se: 0.000 0.000 0.000

An optimized crystal structure of Na2Te2Se3. Source: Alexandria, functional PBE.

Values from the calculation:
E_form (uncorrected) (eV per atom): -0.423
D(E_F) (states/eV/cell): 2.41
Final energy (eV/atom): -3.191
Total magnetization (Bohr magnetons per cell): 0.0

a = 4.929 Å, b = 6.171 Å, c = 7.418 Å
α = 87.02°, β = 109.40°, γ = 90.00°
Element x y z (fractional)
Se: 0.300 0.734 0.599
Se: 0.000 0.000 0.000
Se: 0.700 0.266 0.401
Te: 0.870 0.662 0.740
Te: 0.130 0.338 0.260
Na: 0.380 0.178 0.760
Na: 0.620 0.822 0.240

An optimized crystal structure of Na3TeSe. Source: Alexandria, functional PBE.

Values from the calculation:
E_form (uncorrected) (eV per atom): -0.842
D(E_F) (states/eV/cell): 0.07
Energy above the most stable polymorph in this dataset (meV/atom): 7.1
Final energy (eV/atom): -2.959
Total magnetization (Bohr magnetons per cell): 0.0

a = 6.683 Å, b = 6.683 Å, c = 6.683 Å
α = 77.70°, β = 77.70°, γ = 77.70°
Element x y z (fractional)
Na: 0.580 0.952 0.328
Na: 0.080 0.828 0.452
Na: 0.452 0.080 0.828
Na: 0.828 0.452 0.080
Na: 0.952 0.328 0.580
Na: 0.328 0.580 0.952
Te: 0.954 0.954 0.954
Te: 0.454 0.454 0.454
Se: 0.705 0.705 0.705
Se: 0.205 0.205 0.205

An optimized crystal structure of Na3Te5Se12. Source: Alexandria, functional PBE.

Values from the calculation:
E_form (uncorrected) (eV per atom): -0.130
D(E_F) (states/eV/cell): 17.77
Final energy (eV/atom): -3.204
Total magnetization (Bohr magnetons per cell): 0.0

a = 14.819 Å, b = 14.819 Å, c = 14.819 Å
α = 109.47°, β = 109.47°, γ = 109.47°
Element x y z (fractional)
Na: 0.875 0.750 0.125
Na: 0.125 0.250 0.875
Na: 0.750 0.375 0.125
Na: 0.875 0.125 0.250
Na: 0.625 0.250 0.375
Na: 0.375 0.750 0.625
Na: 0.625 0.375 0.750
Na: 0.250 0.625 0.875
Na: 0.375 0.625 0.250
Na: 0.250 0.125 0.375
Na: 0.125 0.875 0.750
Na: 0.750 0.875 0.625
Se: 0.458 0.670 0.089
Se: 0.542 0.212 0.131
Se: 0.131 0.712 0.542
Se: 0.958 0.589 0.170
Se: 0.419 0.131 0.589
Se: 0.212 0.670 0.081
Se: 0.589 0.631 0.419
Se: 0.170 0.089 0.958
Se: 0.911 0.081 0.869
Se: 0.589 0.958 0.670
Se: 0.081 0.170 0.212
Se: 0.288 0.419 0.830
Se: 0.212 0.542 0.631
Se: 0.411 0.369 0.581
Se: 0.330 0.788 0.419
Se: 0.830 0.919 0.288
Se: 0.788 0.458 0.369
Se: 0.089 0.170 0.458
Se: 0.369 0.958 0.788
Se: 0.288 0.869 0.958
Se: 0.830 0.911 0.042
Se: 0.042 0.631 0.712
Se: 0.712 0.581 0.170
Se: 0.131 0.419 0.089
Se: 0.919 0.089 0.631
Se: 0.712 0.131 0.042
Se: 0.869 0.581 0.911
Se: 0.631 0.042 0.212
Se: 0.670 0.212 0.581
Se: 0.631 0.589 0.919
Se: 0.330 0.542 0.411
Se: 0.170 0.081 0.712
Se: 0.788 0.330 0.919
Se: 0.089 0.919 0.131
Se: 0.581 0.869 0.411
Se: 0.042 0.411 0.830
Se: 0.919 0.830 0.788
Se: 0.869 0.288 0.458
Se: 0.542 0.330 0.911
Se: 0.369 0.411 0.081
Se: 0.581 0.712 0.670
Se: 0.958 0.369 0.288
Se: 0.458 0.788 0.869
Se: 0.419 0.288 0.330
Se: 0.081 0.911 0.369
Se: 0.670 0.458 0.589
Se: 0.911 0.830 0.542
Se: 0.411 0.042 0.330
Te: 0.500 0.500 0.000
Te: 0.375 0.125 0.750
Te: 0.000 0.500 0.000
Te: 0.250 0.375 0.625
Te: 0.000 0.500 0.500
Te: 0.500 0.000 0.500
Te: 0.875 0.625 0.750
Te: 0.625 0.750 0.875
Te: 0.250 0.875 0.125
Te: 0.125 0.375 0.250
Te: 0.750 0.625 0.375
Te: 0.500 0.000 0.000
Te: 0.500 0.500 0.500
Te: 0.000 0.000 0.500
Te: 0.750 0.125 0.875
Te: 0.875 0.250 0.625
Te: 0.625 0.875 0.250
Te: 0.125 0.750 0.375
Te: 0.000 0.000 0.000
Te: 0.375 0.250 0.125

An optimized crystal structure of Na4TeSe. Source: Alexandria, functional PBE.

Values from the calculation:
E_form (uncorrected) (eV per atom): -0.991
D(E_F) (states/eV/cell): 0.00
Final energy (eV/atom): -2.975
Total magnetization (Bohr magnetons per cell): 0.0

a = 7.112 Å, b = 7.112 Å, c = 8.670 Å
α = 114.22°, β = 114.22°, γ = 90.00°
Element x y z (fractional)
Na: 0.375 0.390 0.250
Na: 0.875 0.390 0.250
Na: 0.610 0.625 0.750
Na: 0.140 0.125 0.750
Na: 0.610 0.125 0.750
Na: 0.140 0.625 0.750
Na: 0.875 0.860 0.250
Na: 0.375 0.860 0.250
Te: 0.000 0.000 0.000
Te: 0.750 0.250 0.500
Se: 0.500 0.500 0.000
Se: 0.250 0.750 0.500

An optimized crystal structure of NaTeSe. Source: Alexandria, functional PBE.

Values from the calculation:
E_form (uncorrected) (eV per atom): -0.279
D(E_F) (states/eV/cell): 4.58
Energy above the most stable polymorph in this dataset (meV/atom): 219.3
Final energy (eV/atom): -2.927
Total magnetization (Bohr magnetons per cell): 0.0

a = 5.865 Å, b = 3.020 Å, c = 10.038 Å
α = 98.65°, β = 106.99°, γ = 90.00°
Element x y z (fractional)
Se: 0.171 0.671 0.341
Se: 0.829 0.329 0.659
Te: 0.256 0.500 0.000
Te: 0.744 0.500 0.000
Na: 0.676 0.176 0.352
Na: 0.324 0.824 0.648

An optimized crystal structure of NaTe3Se. Source: Alexandria, functional PBE.

Values from the calculation:
E_form (uncorrected) (eV per atom): 0.066
D(E_F) (states/eV/cell): 3.68
Energy above the most stable polymorph in this dataset (meV/atom): 0.0
Final energy (eV/atom): -2.780
Total magnetization (Bohr magnetons per cell): 0.0

a = 5.550 Å, b = 5.550 Å, c = 5.550 Å
α = 90.00°, β = 90.00°, γ = 90.00°
Element x y z (fractional)
Te: 0.000 0.000 0.500
Te: 0.000 0.500 0.000
Te: 0.500 0.000 0.000
Na: 0.500 0.500 0.500
Se: 0.000 0.000 0.000

An optimized crystal structure of NaTe2Se2. Source: Alexandria, functional PBE.

Values from the calculation:
E_form (uncorrected) (eV per atom): -0.178
D(E_F) (states/eV/cell): 4.89
Energy above the most stable polymorph in this dataset (meV/atom): 27.4
Final energy (eV/atom): -3.093
Total magnetization (Bohr magnetons per cell): 0.0

a = 4.210 Å, b = 4.210 Å, c = 10.188 Å
α = 78.08°, β = 78.08°, γ = 90.00°
Element x y z (fractional)
Se: 0.560 0.560 0.880
Se: 0.440 0.440 0.120
Te: 0.250 0.750 0.500
Te: 0.750 0.250 0.500
Na: 0.000 0.000 0.000

An optimized crystal structure of NaTe3Se. Source: Alexandria, functional PBE.

Values from the calculation:
E_form (uncorrected) (eV per atom): 0.773
D(E_F) (states/eV/cell): 10.07
Energy above the most stable polymorph in this dataset (meV/atom): 707.3
Final energy (eV/atom): -2.073
Total magnetization (Bohr magnetons per cell): 0.0

a = 5.424 Å, b = 5.424 Å, c = 5.424 Å
α = 90.00°, β = 90.00°, γ = 90.00°
Element x y z (fractional)
Te: 0.500 0.000 0.000
Te: 0.000 0.500 0.000
Te: 0.000 0.000 0.500
Se: 0.500 0.500 0.500
Na: 0.000 0.000 0.000

An optimized crystal structure of NaTeSe. Source: Alexandria, functional PBE.

Values from the calculation:
E_form (uncorrected) (eV per atom): -0.231
D(E_F) (states/eV/cell): 3.60
Energy above the most stable polymorph in this dataset (meV/atom): 267.1
Final energy (eV/atom): -2.880
Total magnetization (Bohr magnetons per cell): 0.0

a = 4.550 Å, b = 4.862 Å, c = 4.862 Å
α = 120.00°, β = 90.00°, γ = 90.00°
Element x y z (fractional)
Na: 0.634 0.667 0.333
Te: 0.115 0.000 0.000
Se: 0.251 0.333 0.667